Material: Ba2NaNd
Method: DFT, PBE
State: relaxed

Calculated values
Total DFT energy (no corrections), eV for the cell shown: -9.252
M_tot, μB per atom: 0.00
Energy of formation from the pure elements, eV per formula unit: 0.68

Cell lengths 6.685, 6.685, 4.236 Å; angles 90.00, 90.00, 90.00 degrees
Space group P4/mmm (No. 123)
Unique sites:
Ba 0.000 0.500 0.000
Na 0.000 0.000 0.500
Nd 0.500 0.500 0.500